[1]
{"formula": "ZrTi2Cu2", "functional": "PBE", "state": "optimized geometry", "polymorph_energy_mev_per_atom": 219, "lattice_angstrom": [[-1.921, 1.921, 5.842], [1.921, -1.921, 5.842], [1.921, 1.921, -5.842]], "species": ["Zr", "Ti", "Ti", "Cu", "Cu"], "frac_coords": [[0.000, 0.000, 0.000], [0.390, 0.390, 0.000], [0.610, 0.610, 0.000], [0.250, 0.750, 0.500], [0.750, 0.250, 0.500]]}



[2]
{"formula": "Zr2Ti3Cu2", "functional": "PBE", "state": "optimized geometry", "lattice_angstrom": [[1.521, -13.455, 0.000], [1.521, 13.455, 0.000], [0.000, 0.000, 2.986]], "species": ["Zr", "Zr", "Ti", "Ti", "Ti", "Cu", "Cu"], "frac_coords": [[0.200, 0.800, 0.000], [0.800, 0.200, 0.000], [0.069, 0.931, 0.000], [0.500, 0.500, 0.500], [0.931, 0.069, 0.000], [0.372, 0.628, 0.500], [0.628, 0.372, 0.500]]}



[3]
{"formula": "ZrTi2Cu2", "functional": "PBE", "state": "optimized geometry", "polymorph_energy_mev_per_atom": 0, "lattice_angstrom": [[7.391, 0.000, 0.000], [0.000, 7.391, 0.000], [0.000, 0.000, 2.993]], "species": ["Zr", "Zr", "Ti", "Ti", "Ti", "Ti", "Cu", "Cu", "Cu", "Cu"], "frac_coords": [[0.000, 0.000, 0.000], [0.500, 0.500, 0.000], [0.171, 0.329, 0.500], [0.329, 0.829, 0.500], [0.671, 0.171, 0.500], [0.829, 0.671, 0.500], [0.122, 0.622, 0.000], [0.378, 0.122, 0.000], [0.622, 0.878, 0.000], [0.878, 0.378, 0.000]]}



[4]
{"formula": "Zr2TiCu2", "functional": "PBE", "state": "optimized geometry", "polymorph_energy_mev_per_atom": 0, "lattice_angstrom": [[7.428, 0.000, 0.000], [0.000, 7.428, 0.000], [0.000, 0.000, 3.248]], "species": ["Zr", "Zr", "Zr", "Zr", "Ti", "Ti", "Cu", "Cu", "Cu", "Cu"], "frac_coords": [[0.176, 0.324, 0.000], [0.324, 0.824, 0.000], [0.676, 0.176, 0.000], [0.824, 0.676, 0.000], [0.000, 0.000, 0.500], [0.500, 0.500, 0.500], [0.121, 0.621, 0.500], [0.379, 0.121, 0.500], [0.621, 0.879, 0.500], [0.879, 0.379, 0.500]]}



| no. | D(E_F) (states/eV per cell) | formation energy (eV per atom) |
| --- | --- | --- |
| 1 | 6.1 | 0.2061 |
| 2 | 7.2 | -0.0020 |
| 3 | 13.4 | -0.0128 |
| 4 | 12.8 | -0.0270 |